VASP calculation (PBE-GGA) on a relaxed Sr2HoInCl8 crystal.

Summary:
- calculated volume (A^3/atom) = 33.50
- density of states at the Fermi level (states/eV per cell) = 0.000
- size of the total moment (μB/f.u.) = 0.000
- formation energy without anion corrections (eV/atom) = -2.116
- uncorrected energy (eV/atom) = -4.24

Cell and atoms, written as POSCAR:
```
Sr2HoInCl8
1.0
6.555 0.000 0.000
0.000 9.077 0.000
-0.008 0.000 6.757
Sr Ho In Cl
2 1 1 8
Direct
0.000 0.250 0.000
0.000 0.750 0.000
0.500 0.000 0.500
0.500 0.500 0.500
0.221 0.500 0.143
0.238 0.000 0.190
0.281 0.208 0.667
0.281 0.792 0.667
0.719 0.208 0.333
0.719 0.792 0.333
0.762 0.000 0.810
0.779 0.500 0.857
```

---

VASP calculation (PBE-GGA) on a relaxed MgScSb crystal.

Summary:
- calculated volume (A^3/atom) = 24.31
- polymorph energy (0 for the lowest one) (meV per atom) = 0
- density of states at the Fermi level (states/eV per cell) = 3.716
- size of the total moment (μB/f.u.) = 0.466
- formation energy without anion corrections (eV/atom) = -0.558
- uncorrected energy (eV/atom) = -4.57

Cell and atoms, written as POSCAR:
```
MgScSb
1.0
4.504 0.000 0.000
0.000 4.504 0.000
0.000 0.000 7.191
Mg Sc Sb
2 2 2
Direct
0.250 0.250 0.178
0.750 0.750 0.822
0.250 0.750 0.500
0.750 0.250 0.500
0.250 0.250 0.776
0.750 0.750 0.224
```

---

VASP calculation (PBE-GGA) on a relaxed Hf3Fe5H12 crystal.

Summary:
- calculated volume (A^3/atom) = 7.80
- density of states at the Fermi level (states/eV per cell) = 49.175
- size of the total moment (μB/f.u.) = 9.862
- uncorrected energy (eV/atom) = -5.77

Cell and atoms, written as POSCAR:
```
Hf3Fe5H12
1.0
-5.384 5.384 5.384
5.384 -5.384 5.384
5.384 5.384 -5.384
Hf Fe H
12 20 48
Direct
0.125 0.250 0.375
0.125 0.375 0.750
0.250 0.375 0.125
0.250 0.875 0.625
0.375 0.125 0.250
0.375 0.750 0.125
0.625 0.250 0.875
0.625 0.875 0.750
0.750 0.125 0.375
0.750 0.625 0.875
0.875 0.625 0.250
0.875 0.750 0.625
0.000 0.000 0.000
0.000 0.000 0.500
0.000 0.500 0.000
0.000 0.500 0.500
0.125 0.750 0.875
0.125 0.875 0.250
0.250 0.125 0.875
0.250 0.625 0.375
0.375 0.250 0.625
0.375 0.625 0.750
0.500 0.000 0.000
0.500 0.000 0.500
0.500 0.500 0.000
0.500 0.500 0.500
0.625 0.375 0.250
0.625 0.750 0.375
0.750 0.375 0.625
0.750 0.875 0.125
0.875 0.125 0.750
0.875 0.250 0.125
0.038 0.208 0.125
0.038 0.330 0.913
0.083 0.708 0.670
0.083 0.875 0.413
0.087 0.625 0.417
0.087 0.962 0.670
0.125 0.038 0.208
0.125 0.587 0.917
0.170 0.208 0.583
0.170 0.462 0.587
0.208 0.125 0.038
0.208 0.583 0.170
0.292 0.330 0.917
0.292 0.462 0.375
0.330 0.913 0.038
0.330 0.917 0.292
0.375 0.292 0.462
0.375 0.583 0.913
0.413 0.083 0.875
0.413 0.830 0.538
0.417 0.087 0.625
0.417 0.830 0.792
0.462 0.375 0.292
0.462 0.587 0.170
0.538 0.413 0.830
0.538 0.625 0.708
0.583 0.170 0.208
0.583 0.913 0.375
0.587 0.170 0.462
0.587 0.917 0.125
0.625 0.417 0.087
0.625 0.708 0.538
0.670 0.083 0.708
0.670 0.087 0.962
0.708 0.538 0.625
0.708 0.670 0.083
0.792 0.417 0.830
0.792 0.875 0.962
0.830 0.538 0.413
0.830 0.792 0.417
0.875 0.413 0.083
0.875 0.962 0.792
0.913 0.038 0.330
0.913 0.375 0.583
0.917 0.125 0.587
0.917 0.292 0.330
0.962 0.670 0.087
0.962 0.792 0.875
```

---

> What is the density of states at the Fermi level in the second record?

3.716 states/eV per cell

---

> Among the records above, which one has the lowest density of states at the Fermi level?

Sr2HoInCl8

---

> Which value of density of states at the Fermi level does entry 3 give?

49.175 states/eV per cell